Below is a relaxed LaHN2O crystal, with properties calculated at the GGA-PBE level.

abc: 3.376 3.376 4.662
angles: 90.00 90.00 90.00
Atoms (fractional coordinates):
La: 0.000 0.000 0.000
H: 0.500 0.500 0.500
N: 0.000 0.500 0.500
N: 0.500 0.000 0.500
O: 0.500 0.500 0.000

Calculated values
Symmetry = P4/mmm (123)
Mass density = 5.75 g cm⁻³
Total energy = -28.84 eV/cell


Below is a relaxed LaH4S2NO8 crystal, with properties calculated at the GGA-PBE level.

abc: 7.164 5.556 9.417
angles: 90.00 99.35 90.00
Atoms (fractional coordinates):
La: 0.196 0.250 0.275
La: 0.804 0.750 0.725
H: 0.176 0.250 0.815
H: 0.312 0.250 0.684
H: 0.387 0.101 0.837
H: 0.387 0.399 0.837
H: 0.613 0.601 0.163
H: 0.613 0.899 0.163
H: 0.688 0.750 0.316
H: 0.824 0.750 0.185
S: 0.189 0.750 0.075
S: 0.275 0.750 0.564
S: 0.725 0.250 0.436
S: 0.811 0.250 0.925
N: 0.314 0.250 0.794
N: 0.686 0.750 0.206
O: 0.070 0.750 0.931
O: 0.072 0.750 0.194
O: 0.100 0.750 0.630
O: 0.279 0.530 0.475
O: 0.279 0.970 0.475
O: 0.311 0.530 0.092
O: 0.311 0.970 0.092
O: 0.441 0.750 0.681
O: 0.559 0.250 0.319
O: 0.689 0.030 0.908
O: 0.689 0.470 0.908
O: 0.721 0.030 0.525
O: 0.721 0.470 0.525
O: 0.900 0.250 0.370
O: 0.928 0.250 0.806
O: 0.930 0.250 0.069

Calculated values
Symmetry = P2_1/m (11)
Mass density = 3.13 g cm⁻³
Total energy = -199.39 eV/cell


Below is a relaxed LaH6S3N3O9 crystal, with properties calculated at the GGA-PBE level.

abc: 10.024 10.024 5.903
angles: 90.00 90.00 120.00
Atoms (fractional coordinates):
La: 0.333 0.667 0.000
La: 0.667 0.333 0.500
H: 0.062 0.318 0.470
H: 0.094 0.205 0.641
H: 0.112 0.906 0.641
H: 0.205 0.112 0.141
H: 0.257 0.938 0.470
H: 0.318 0.257 0.970
H: 0.682 0.743 0.470
H: 0.743 0.062 0.970
H: 0.795 0.888 0.641
H: 0.888 0.094 0.141
H: 0.906 0.795 0.141
H: 0.938 0.682 0.970
S: 0.086 0.688 0.502
S: 0.312 0.398 0.502
S: 0.398 0.086 0.002
S: 0.602 0.914 0.502
S: 0.688 0.602 0.002
S: 0.914 0.312 0.002
N: 0.126 0.265 0.491
N: 0.140 0.874 0.491
N: 0.265 0.140 0.991
N: 0.735 0.860 0.491
N: 0.860 0.126 0.991
N: 0.874 0.735 0.991
O: 0.082 0.391 0.004
O: 0.147 0.655 0.710
O: 0.152 0.661 0.298
O: 0.309 0.918 0.004
O: 0.339 0.491 0.298
O: 0.345 0.491 0.710
O: 0.391 0.309 0.504
O: 0.491 0.147 0.210
O: 0.491 0.152 0.798
O: 0.509 0.848 0.298
O: 0.509 0.853 0.710
O: 0.609 0.691 0.004
O: 0.655 0.509 0.210
O: 0.661 0.509 0.798
O: 0.691 0.082 0.504
O: 0.848 0.339 0.798
O: 0.853 0.345 0.210
O: 0.918 0.609 0.504

Calculated values
Symmetry = P6_3 (173)
Mass density = 2.76 g cm⁻³
Total energy = -266.13 eV/cell


Below is a relaxed LaH6S3N3O9 crystal, with properties calculated at the GGA-PBE level.

abc: 5.874 9.926 10.047
angles: 119.13 90.33 91.82
Atoms (fractional coordinates):
La: 0.000 0.000 0.000
La: 0.498 0.666 0.344
H: 0.029 0.026 0.613
H: 0.059 0.394 0.422
H: 0.141 0.483 0.905
H: 0.361 0.179 0.434
H: 0.392 0.229 0.742
H: 0.446 0.616 0.735
H: 0.545 0.276 0.903
H: 0.564 0.058 0.336
H: 0.623 0.523 0.793
H: 0.814 0.418 0.512
H: 0.888 0.146 0.573
H: 0.959 0.614 0.017
S: 0.003 0.939 0.363
S: 0.008 0.641 0.583
S: 0.488 0.730 0.989
S: 0.490 0.020 0.754
S: 0.519 0.237 0.266
S: 0.981 0.427 0.078
N: 0.025 0.077 0.545
N: 0.474 0.580 0.814
N: 0.520 0.172 0.390
N: 0.526 0.201 0.789
N: 0.982 0.454 0.525
N: 0.988 0.498 0.959
O: 0.003 0.261 0.981
O: 0.028 0.023 0.278
O: 0.167 0.495 0.194
O: 0.191 0.839 0.344
O: 0.246 0.663 0.549
O: 0.263 0.996 0.802
O: 0.288 0.818 0.997
O: 0.323 0.173 0.158
O: 0.475 0.658 0.085
O: 0.505 0.405 0.362
O: 0.511 0.930 0.589
O: 0.674 0.000 0.841
O: 0.703 0.822 0.017
O: 0.737 0.190 0.189
O: 0.757 0.470 0.148
O: 0.779 0.856 0.330
O: 0.843 0.681 0.498
O: 0.962 0.718 0.746

Calculated values
Symmetry = P1 (1)
Mass density = 2.77 g cm⁻³
Total energy = -266.07 eV/cell


Below is a relaxed LaH2PdN crystal, with properties calculated at the GGA-PBE level.

abc: 3.636 3.636 4.456
angles: 90.00 90.00 90.00
Atoms (fractional coordinates):
La: 0.000 0.000 0.000
H: 0.000 0.500 0.500
H: 0.500 0.000 0.500
Pd: 0.500 0.500 0.500
N: 0.500 0.500 0.000

Calculated values
Symmetry = P4/mmm (123)
Mass density = 7.37 g cm⁻³
Total energy = -28.08 eV/cell


Below is a relaxed La6HPt2N crystal, with properties calculated at the GGA-PBE level.

abc: 6.738 7.371 12.197
angles: 90.00 122.45 90.00
Atoms (fractional coordinates):
La: 0.117 0.196 0.444
La: 0.117 0.304 0.944
La: 0.249 0.669 0.436
La: 0.249 0.831 0.936
La: 0.366 0.030 0.238
La: 0.366 0.470 0.738
La: 0.634 0.530 0.262
La: 0.634 0.970 0.762
La: 0.751 0.169 0.064
La: 0.751 0.331 0.564
La: 0.883 0.696 0.056
La: 0.883 0.804 0.556
H: 0.500 0.000 0.500
H: 0.500 0.500 0.000
Pt: 0.185 0.105 0.742
Pt: 0.185 0.395 0.242
Pt: 0.815 0.605 0.758
Pt: 0.815 0.895 0.258
N: 0.000 0.000 0.000
N: 0.000 0.500 0.500

Calculated values
Symmetry = P2_1/c (14)
Mass density = 8.05 g cm⁻³
Total energy = -124.05 eV/cell


Below is a relaxed La2HRhN crystal, with properties calculated at the GGA-PBE level.

abc: 5.104 5.104 3.156
angles: 90.00 90.00 90.00
Atoms (fractional coordinates):
La: 0.000 0.500 0.000
La: 0.500 0.000 0.000
H: 0.000 0.000 0.000
Rh: 0.500 0.500 0.500
N: 0.000 0.000 0.500

Calculated values
Symmetry = P4/mmm (123)
Mass density = 7.99 g cm⁻³
Total energy = -29.99 eV/cell


Below is a relaxed LaH2RhN crystal, with properties calculated at the GGA-PBE level.

abc: 3.644 3.644 4.266
angles: 90.00 90.00 90.00
Atoms (fractional coordinates):
La: 0.000 0.000 0.000
H: 0.000 0.500 0.500
H: 0.500 0.000 0.500
Rh: 0.500 0.500 0.500
N: 0.500 0.500 0.000

Calculated values
Symmetry = P4/mmm (123)
Mass density = 7.56 g cm⁻³
Total energy = -30.51 eV/cell